# 1
Crystalline Tm3Ni2Sn3 at its relaxed geometry, computed with PBE.

```
16
Lattice="4.4130 0.0000 0.0000 -2.2065 5.3174 0.0000 0.0000 0.0000 14.7700" Properties=species:S:1:pos:R:3 pbc="T T T"
Sn 2.2065 1.5897 11.0775
Tm 2.2065 1.5488 3.6925
Ni 2.2065 3.1535 8.9770
Ni 2.2065 3.1535 13.1780
Tm 0.0000 0.8112 13.1279
Sn 0.0000 3.9031 7.9267
Sn 2.2065 1.4143 0.5416
Tm 0.0000 3.7685 11.0775
Tm 0.0000 0.8112 9.0271
Sn 2.2065 1.4143 6.8434
Sn 0.0000 3.7277 3.6925
Ni 0.0000 2.1639 5.7930
Tm 2.2065 4.5062 5.7429
Ni 0.0000 2.1639 1.5920
Tm 2.2065 4.5062 1.6421
Sn 0.0000 3.9031 14.2284
```

Crystal system: orthorhombic
DFT formation energy (eV per atom): -0.664
Fermi-level density of states (states/eV/cell): 6.12
Total moment (μB/f.u.): 0.000

# 2
Crystalline TmNi3Sn at its relaxed geometry, computed with PBE.

```
10
Lattice="-1.7346 4.0198 0.7607 -3.1347 -1.9217 3.0069 3.7766 0.1559 7.7881" Properties=species:S:1:pos:R:3 pbc="T T T"
Tm -1.9927 2.2370 3.1037
Sn -2.0283 -0.5949 5.0082
Ni -1.3477 2.0427 5.6010
Ni 0.2809 3.0411 4.0388
Ni 0.0000 0.0000 0.0000
Tm 0.9000 0.0170 8.4520
Ni 0.2550 0.2113 5.9547
Sn 0.9355 2.8489 6.5475
Ni -0.8673 2.0099 0.3803
Ni -1.3736 -0.7872 7.5169
```

Crystal system: orthorhombic
DFT formation energy (eV per atom): -0.109
Fermi-level density of states (states/eV/cell): 9.26
Total moment (μB/f.u.): 0.000

# 3
Crystalline Tm2Ni3Sn at its relaxed geometry, computed with PBE.

```
12
Lattice="5.4999 1.0029 0.0000 -0.0852 5.5899 0.0000 -2.7073 -3.2964 7.3170" Properties=species:S:1:pos:R:3 pbc="T T T"
Tm 2.7500 0.5014 3.6585
Tm -0.0426 2.7950 3.6585
Ni -1.4030 -1.7082 6.1315
Tm 1.2177 4.5199 0.0000
Tm 4.1970 2.0730 0.0000
Sn 2.7073 3.2964 2.3996
Ni 4.1103 5.0046 1.1855
Ni 1.4030 1.7082 6.1315
Ni 1.3044 1.5882 1.1855
Ni 0.0000 0.0000 2.3765
Sn 0.0000 0.0000 4.9173
Ni 2.7073 3.2964 4.9405
```

Crystal system: orthorhombic
DFT formation energy (eV per atom): -0.401
Fermi-level density of states (states/eV/cell): 8.55
Total moment (μB/f.u.): 0.000

# 4
Crystalline TmNiSn2 at its relaxed geometry, computed with PBE.

```
4
Lattice="-2.4995 2.4224 0.1755 -3.1122 -0.8019 1.3480 0.8876 2.8262 8.2355" Properties=species:S:1:pos:R:3 pbc="T T T"
Sn -1.3216 0.9951 2.0458
Ni 0.0000 0.0000 0.0000
Tm -2.3620 2.2233 4.8795
Sn -3.4024 3.4515 7.7132
```

Crystal system: trigonal
DFT formation energy (eV per atom): -0.158
Fermi-level density of states (states/eV/cell): 2.88
Total moment (μB/f.u.): 0.000

# 5
Crystalline Tm3Ni2Sn4 at its relaxed geometry, computed with PBE.

```
9
Lattice="-2.9314 0.1516 3.2448 -0.5209 -5.0885 -3.1829 6.0767 -1.8222 5.5749" Properties=species:S:1:pos:R:3 pbc="T T T"
Sn 4.3558 -4.6552 4.1527
Sn 0.6367 -5.2224 3.7694
Tm 2.1934 -2.4745 5.0472
Ni 2.4933 -4.0283 2.4407
Tm 0.0000 0.0000 0.0000
Ni 0.1311 -2.7307 3.1961
Sn 1.9876 -1.5367 1.8675
Tm 0.4310 -4.2846 0.5896
Sn -1.7315 -2.1038 1.4842
```

Crystal system: monoclinic
DFT formation energy (eV per atom): -0.595
Fermi-level density of states (states/eV/cell): 5.02
Total moment (μB/f.u.): 0.000

# 6
Crystalline Tm3NiSn3 at its relaxed geometry, computed with PBE.

```
14
Lattice="4.3500 0.0000 0.6553 2.1427 5.4838 0.5419 0.1110 0.0976 14.0299" Properties=species:S:1:pos:R:3 pbc="T T T"
Tm 4.1604 4.0352 1.9137
Ni 3.0557 5.0248 9.2478
Sn 0.5984 1.0774 10.7940
Sn 4.1864 1.0597 1.7416
Sn 5.3861 4.2304 8.5438
Tm 3.5398 3.6787 6.0339
Ni 3.5480 0.5565 5.9792
Tm 4.9226 4.2095 11.6204
Tm 2.4433 1.5461 13.3133
Sn 2.4173 4.5217 13.4855
Tm 1.6811 1.3719 3.6066
Sn 6.0053 4.5040 4.4330
Tm 3.0639 1.9027 9.1931
Sn 1.2176 1.3509 6.6832
```

Crystal system: monoclinic
DFT formation energy (eV per atom): -0.651
Fermi-level density of states (states/eV/cell): 7.86
Total moment (μB/f.u.): 0.000

# 7
Crystalline Tm5NiSn at its relaxed geometry, computed with PBE.

```
14
Lattice="6.3688 0.5121 -0.2168 2.5062 5.8773 -0.2168 3.1044 2.2350 10.3413" Properties=species:S:1:pos:R:3 pbc="T T T"
Ni 1.5522 1.1175 5.1707
Sn 6.9067 4.6752 7.5392
Tm 7.5799 4.0804 4.4707
Tm 7.0170 1.2485 2.3686
Tm 4.9624 7.3759 7.5392
Tm 4.3996 4.5441 5.4371
Tm 3.7377 1.2229 3.6253
Tm 7.8265 7.0113 9.6413
Ni 0.0000 0.0000 0.0000
Tm 3.8977 4.2742 8.7959
Tm 4.1529 1.6132 0.2665
Tm 8.2417 7.4016 6.2826
Sn 5.0727 3.9492 2.3686
Tm 8.0817 4.3503 1.1119
```

Crystal system: monoclinic
DFT formation energy (eV per atom): -0.213
Fermi-level density of states (states/eV/cell): 14.88
Total moment (μB/f.u.): 0.000

# 8
Crystalline TmNi4Sn12 at its relaxed geometry, computed with PBE.

```
17
Lattice="7.5426 0.0000 -2.6667 -3.7713 6.5320 -2.6667 0.0000 0.0000 8.0001" Properties=species:S:1:pos:R:3 pbc="T T T"
Ni 3.7713 0.0000 -1.3334
Ni 0.0000 0.0000 4.0000
Sn -0.0059 2.1745 2.6591
Ni 1.8856 3.2660 1.3333
Sn 0.6307 3.2567 -0.8919
Sn -1.2663 4.3575 4.4414
Sn 5.6564 1.0821 2.6743
Ni -1.8856 3.2660 -1.3333
Sn 1.8910 5.4396 -2.6743
Sn 5.0375 2.1745 -1.7748
Sn 3.1406 3.2753 3.5586
Sn 0.6355 5.4499 1.7747
Sn 3.7772 4.3575 0.0076
Sn 1.8803 1.0924 5.3410
Sn 3.1357 1.0821 0.8919
Sn -1.8851 5.4499 -0.0076
Tm 0.0000 0.0000 0.0000
```

Crystal system: cubic
DFT formation energy (eV per atom): -0.172
Fermi-level density of states (states/eV/cell): 8.12
Total moment (μB/f.u.): 0.000

Which formula does entry 8 have?
TmNi4Sn12